Below is a relaxed NdPd4Au2 crystal, with properties calculated at the PBE-GGA level.

Theoretical density (g cm⁻³): 12.34
E_tot (eV/atom): -5.060

Lattice parameters (Å, degrees): 5.572 5.572 5.493 119.27 119.27 76.02
Fractional positions:
Nd 0.000 0.000 0.000
Pd 0.000 0.398 0.699
Pd 0.000 0.602 0.301
Pd 0.398 0.000 0.699
Pd 0.602 0.000 0.301
Au 0.500 0.500 0.250
Au 0.500 0.500 0.750